No. 1
Density functional theory data (PBE) for crystalline HgP2Br at its relaxed geometry.

a b c (Å): 4.3852 3.9330 5.9184
angles (deg): 90.00 99.76 90.00
Positions (direct):
Hg 0.0000 0.0000 0.0000
P 0.3205 0.5000 0.8594
P 0.6795 0.5000 0.1406
Br 0.5000 0.0000 0.5000

Properties
Uncorrected formation energy: 0.175 eV/atom
D(E_F): 1.52 states/eV/f.u.
Symmetry: P2/m, No. 10

***

No. 2
Density functional theory data (PBE) for crystalline HgPBr at its relaxed geometry.

a b c (Å): 4.0470 4.0470 5.2156
angles (deg): 90.00 90.00 120.00
Positions (direct):
Hg 0.0000 0.0000 0.0000
P 0.6667 0.3333 0.2132
Br 0.3333 0.6667 0.6099

Properties
Uncorrected formation energy: 0.400 eV/atom
D(E_F): 2.44 states/eV/f.u.
Symmetry: P3m1, No. 156

***

| no. | excess energy over the best structure of this formula in the dataset (kJ/mol of formula units) | theoretical density (Mg/m³) |
| --- | --- | --- |
| 1 | 56 | 5.7 |
| 2 | 156 | 7.0 |